RePPt2 | PBE | relaxed

```
data_RePPt2
_cell_length_a 3.0906
_cell_length_b 4.2809
_cell_length_c 4.5116
_cell_angle_alpha 90.00
_cell_angle_beta 90.00
_cell_angle_gamma 90.00
_space_group_name_H-M_alt 'P m m m'
_space_group_IT_number 47
_space_group_name_Hall '-P 2 2'
loop_
_atom_site_label
_atom_site_type_symbol
_atom_site_fract_x
_atom_site_fract_y
_atom_site_fract_z
Re1 Re 0.0000 0.0000 0.0000
P1 P 0.5000 0.5000 0.0000
Pt1 Pt 0.0000 0.5000 0.5000
Pt2 Pt 0.5000 0.0000 0.5000
```

Results
Polymorph energy (0 for the lowest one) in eV per formula unit: 1.357
Fermi-level density of states in states/eV per atom: 0.92
E_tot in eV for the cell shown: -28.94

=====

RuW4 | PBE | relaxed

```
data_RuW4
_cell_length_a 4.0682
_cell_length_b 4.0682
_cell_length_c 11.2348
_cell_angle_alpha 90.00
_cell_angle_beta 90.00
_cell_angle_gamma 90.00
_space_group_name_H-M_alt 'I 4/m m m'
_space_group_IT_number 139
_space_group_name_Hall '-I 4 2'
loop_
_atom_site_label
_atom_site_type_symbol
_atom_site_fract_x
_atom_site_fract_y
_atom_site_fract_z
Ru1 Ru 0.0000 0.0000 0.0000
W1 W 0.0000 0.0000 0.3888
W2 W 0.0000 0.5000 0.2500
```

Results
Polymorph energy (0 for the lowest one) in eV per formula unit: 5.870
Fermi-level density of states in states/eV per atom: 1.14
E_tot in eV for the cell shown: -109.23

=====

Ta2CuWSe | PBE | relaxed

```
data_Ta2CuWSe
_cell_length_a 4.7513
_cell_length_b 4.7513
_cell_length_c 4.1975
_cell_angle_alpha 90.00
_cell_angle_beta 90.00
_cell_angle_gamma 90.00
_space_group_name_H-M_alt 'P 4/m m m'
_space_group_IT_number 123
_space_group_name_Hall '-P 4 2'
loop_
_atom_site_label
_atom_site_type_symbol
_atom_site_fract_x
_atom_site_fract_y
_atom_site_fract_z
Ta1 Ta 0.0000 0.5000 0.0000
Cu1 Cu 0.0000 0.0000 0.5000
W1 W 0.5000 0.5000 0.5000
Se1 Se 0.0000 0.0000 0.0000
```

Results
Fermi-level density of states in states/eV per atom: 0.62
E_tot in eV for the cell shown: -38.59

=====

Tb2Cd3Pd | PBE | relaxed

```
data_Tb2Cd3Pd
_cell_length_a 3.4605
_cell_length_b 4.8408
_cell_length_c 8.4599
_cell_angle_alpha 90.00
_cell_angle_beta 90.00
_cell_angle_gamma 90.00
_space_group_name_H-M_alt 'P m m 2'
_space_group_IT_number 25
_space_group_name_Hall 'P 2 -2'
loop_
_atom_site_label
_atom_site_type_symbol
_atom_site_fract_x
_atom_site_fract_y
_atom_site_fract_z
Tb1 Tb 0.0000 0.0000 0.0000
Tb2 Tb 0.0000 0.5000 0.4372
Cd1 Cd 0.5000 0.0000 0.6254
Cd2 Cd 0.5000 0.5000 0.1275
Cd3 Cd 0.5000 0.5000 0.7931
Pd1 Pd 0.5000 0.0000 0.2952
```

Results
Fermi-level density of states in states/eV per atom: 0.57
E_tot in eV for the cell shown: -19.90

=====

CoRuAu2 | PBE | relaxed

```
data_CoRuAu2
_cell_length_a 2.7960
_cell_length_b 2.7960
_cell_length_c 27.3096
_cell_angle_alpha 90.00
_cell_angle_beta 90.00
_cell_angle_gamma 120.00
_space_group_name_H-M_alt 'R -3 m'
_space_group_IT_number 166
_space_group_name_Hall '-R 3 2"'
loop_
_atom_site_label
_atom_site_type_symbol
_atom_site_fract_x
_atom_site_fract_y
_atom_site_fract_z
Co1 Co 0.0000 0.0000 0.0000
Ru1 Ru 0.0000 0.0000 0.5000
Au1 Au 0.0000 0.0000 0.2532
```

Results
Fermi-level density of states in states/eV per atom: 1.18
E_tot in eV for the cell shown: -63.91

=====

La2MgTl | PBE | relaxed

```
data_La2MgTl
_cell_length_a 10.9130
_cell_length_b 3.7739
_cell_length_c 6.4893
_cell_angle_alpha 90.00
_cell_angle_beta 101.91
_cell_angle_gamma 90.00
_space_group_name_H-M_alt 'C 1 2/m 1'
_space_group_IT_number 12
_space_group_name_Hall '-C 2y'
loop_
_atom_site_label
_atom_site_type_symbol
_atom_site_fract_x
_atom_site_fract_y
_atom_site_fract_z
La1 La 0.2465 0.0000 0.2488
Mg1 Mg 0.0000 0.0000 0.5000
Tl1 Tl 0.0000 0.5000 0.0000
```

Results
Polymorph energy (0 for the lowest one) in eV per formula unit: 0.755
Fermi-level density of states in states/eV per atom: 1.05
E_tot in eV for the cell shown: -28.39

=====

AlCo2P | PBE | relaxed

```
data_AlCo2P
_cell_length_a 5.6373
_cell_length_b 5.6373
_cell_length_c 5.6373
_cell_angle_alpha 90.00
_cell_angle_beta 90.00
_cell_angle_gamma 90.00
_space_group_name_H-M_alt 'F m -3 m'
_space_group_IT_number 225
_space_group_name_Hall '-F 4 2 3'
loop_
_atom_site_label
_atom_site_type_symbol
_atom_site_fract_x
_atom_site_fract_y
_atom_site_fract_z
Al1 Al 0.0000 0.0000 0.0000
Co1 Co 0.2500 0.2500 0.2500
P1 P 0.0000 0.0000 0.5000
```

Results
Polymorph energy (0 for the lowest one) in eV per formula unit: 0.338
Fermi-level density of states in states/eV per atom: 0.50
E_tot in eV for the cell shown: -98.55

=====

Y2TcPb2 | PBE | relaxed

```
data_Y2TcPb2
_cell_length_a 7.4685
_cell_length_b 7.4685
_cell_length_c 4.5220
_cell_angle_alpha 90.00
_cell_angle_beta 90.00
_cell_angle_gamma 90.00
_space_group_name_H-M_alt 'P 4/m b m'
_space_group_IT_number 127
_space_group_name_Hall '-P 4 2ab'
loop_
_atom_site_label
_atom_site_type_symbol
_atom_site_fract_x
_atom_site_fract_y
_atom_site_fract_z
Y1 Y 0.1707 0.3293 0.0000
Tc1 Tc 0.0000 0.0000 0.5000
Pb1 Pb 0.1425 0.6425 0.5000
```

Results
Fermi-level density of states in states/eV per atom: 0.79
E_tot in eV for the cell shown: -62.48